! PBE Ce5Pa3, optimized geometry; values from VASP
&SYSTEM
  ibrav = 0, nat = 8, ntyp = 2
/
ATOMIC_SPECIES
Ce 140.12 Ce.upf
Pa 231.04 Pa.upf
CELL_PARAMETERS angstrom
-0.688 2.787 1.593
-3.133 -0.939 0.290
4.065 -8.450 16.539
ATOMIC_POSITIONS angstrom
Ce 1.146 -5.430 13.379
Ce 2.544 -5.288 10.350
Ce 0.122 -3.300 9.211
Ce 1.521 -3.162 6.189
Ce -0.903 -1.171 5.043
Pa 0.503 -1.045 2.045
Pa -1.911 0.924 0.942
Pa 3.562 -7.405 14.494
! Formation energy: 0.1 eV/f.u.
! Fermi-level density of states: 2.2496 states/eV/atom


! PBE Mg5Ru, optimized geometry; values from VASP
&SYSTEM
  ibrav = 0, nat = 6, ntyp = 2
/
ATOMIC_SPECIES
Mg 24.30 Mg.upf
Ru 101.07 Ru.upf
CELL_PARAMETERS angstrom
5.614 -0.032 0.006
4.609 3.206 0.006
-8.092 -2.513 6.492
ATOMIC_POSITIONS angstrom
Mg -4.624 -1.436 5.205
Mg -1.836 -0.570 4.220
Mg 1.231 0.382 2.892
Mg 4.300 1.335 1.561
Mg 7.086 2.200 0.576
Ru 2.297 0.713 6.142
! Polymorph energy (0 for the lowest one): 0 meV/atom
! Formation energy: -0.1 eV/f.u.
! Fermi-level density of states: 0.4769 states/eV/atom


! PBE Ti2BeSbIr, optimized geometry; values from VASP
&SYSTEM
  ibrav = 0, nat = 5, ntyp = 4
/
ATOMIC_SPECIES
Sb 121.76 Sb.upf
Ir 192.22 Ir.upf
Be 9.01 Be.upf
Ti 47.87 Ti.upf
CELL_PARAMETERS angstrom
4.808 0.000 0.000
0.000 4.269 0.000
0.000 0.000 4.808
ATOMIC_POSITIONS angstrom
Sb 2.404 2.135 2.404
Ir 0.000 0.000 0.000
Be 0.000 2.135 0.000
Ti 0.000 0.000 2.404
Ti 2.404 0.000 0.000
! Fermi-level density of states: 1.0722 states/eV/atom
! Formation energy (no corrections): 0.088 eV per atom


! PBE SnHg2O2, optimized geometry; values from VASP
&SYSTEM
  ibrav = 0, nat = 10, ntyp = 3
/
ATOMIC_SPECIES
Hg 200.59 Hg.upf
O 16.00 O.upf
Sn 118.71 Sn.upf
CELL_PARAMETERS angstrom
-3.168 3.192 -3.418
-0.897 -4.466 -3.339
-5.004 -1.450 3.283
ATOMIC_POSITIONS angstrom
Hg -3.708 -3.196 -1.287
Hg -5.406 -2.169 -3.421
Hg -5.361 0.471 -2.187
Hg -3.663 -0.556 -0.053
O -1.243 -2.482 -2.990
O -2.925 -1.374 -5.064
O -2.822 1.208 -3.767
O -1.140 0.099 -1.694
Sn 0.000 0.000 0.000
Sn -2.032 -0.637 -3.379
! Polymorph energy (0 for the lowest one): 0 meV/atom
! Fermi-level density of states: 0.2335 states/eV/atom
! Formation energy (no corrections): -0.466 eV per atom


! PBE YTaAg2I, optimized geometry; values from VASP
&SYSTEM
  ibrav = 0, nat = 5, ntyp = 4
/
ATOMIC_SPECIES
I 126.90 I.upf
Y 88.91 Y.upf
Ag 107.87 Ag.upf
Ta 180.95 Ta.upf
CELL_PARAMETERS angstrom
-3.808 0.270 3.882
-2.925 -4.034 -2.589
2.665 -3.778 2.877
ATOMIC_POSITIONS angstrom
I -1.463 -2.017 -1.294
Y 0.000 0.000 0.000
Ag 1.332 -1.889 1.438
Ag -1.904 0.135 1.941
Ta -2.034 -3.771 2.085
! Fermi-level density of states: 1.0694 states/eV/atom
! Formation energy (no corrections): 1.453 eV per atom


Calculated values (μB/f.u.) of magnetization for the records, taken in order: 0.0, 0.0, 0.0, 0.0, 3.5.
Calculated values (eV/atom) of calculated total energy for the records, taken in order: -7.254, -2.886, -6.412, -3.371, -3.660.